(1)
Material: Tb2Pm2Dy15
Method: DFT, PBE
State: optimized geometry

a b c (Å): 11.1775 11.1775 17.6079
angles (deg): 90.00 90.00 120.00
With the nearest neighbours (Å) after each atom.
Space group R-3m (No. 166, hexagonal axes)
Asymmetric unit:
1 Tb 0.0000 0.0000 0.0953  1 Tb 3.35, 9 Dy 3.46-3.73
2 Pm 0.0000 0.0000 0.3253  15 Dy 3.94-4.27, 1 Tb 4.05
3 Dy 0.0000 0.2981 0.0000  6 Dy 3.30-3.39
4 Dy 0.0000 0.5000 0.5000  8 Dy 3.34-3.39, 2 Tb 3.46
5 Dy 0.0133 0.5066 0.1363  6 Dy 3.28-3.34

(2)
Material: TbPm6Dy
Method: DFT, PBE
State: optimized geometry

a b c (Å): 5.1260 5.1260 10.2443
angles (deg): 90.00 90.00 90.00
With the nearest neighbours (Å) after each atom.
Space group P4/mmm (No. 123)
Asymmetric unit:
1 Tb 0.0000 0.0000 0.0000  12 Pm 3.62-3.63
2 Pm 0.0000 0.5000 0.2503  8 Pm 3.62-3.63, 2 Dy 3.62, 2 Tb 3.63
3 Pm 0.5000 0.5000 0.0000  4 Tb 3.62, 8 Pm 3.63
4 Pm 0.5000 0.5000 0.5000  8 Pm 3.62, 4 Dy 3.62
5 Dy 0.0000 0.0000 0.5000  12 Pm 3.62

(3)
Material: Tb2PmDy4
Method: DFT, PBE
State: optimized geometry

a b c (Å): 16.7062 3.5327 8.7583
angles (deg): 90.00 119.49 90.00
With the nearest neighbours (Å) after each atom.
Space group C2/m (No. 12)
Asymmetric unit:
1 Tb 0.0701 0.0000 0.4296  1 Tb 3.14, 3 Dy 3.32-3.50, 1 Pm 3.35
2 Pm 0.0000 0.0000 0.0000  2 Tb 3.35, 2 Pm 3.53, 4 Dy 3.58
3 Dy 0.1425 0.5000 0.8364  7 Dy 3.53-3.75, 4 Tb 3.61, 2 Pm 3.77
4 Dy 0.2053 0.5000 0.2939  3 Tb 3.32-3.50, 7 Dy 3.53-3.71, 2 Pm 3.58

Summary:
For the polymorph energy (0 for the lowest one), the calculation gives 0 meV/atom.

(4)
Material: Tb2Pm5Dy
Method: DFT, PBE
State: optimized geometry

a b c (Å): 7.2305 14.4647 5.1063
angles (deg): 90.00 90.00 90.00
With the nearest neighbours (Å) after each atom.
Space group Pbam (No. 55)
Asymmetric unit:
1 Tb 0.2497 0.1243 0.0000  10 Pm 3.60-3.64, 2 Dy 3.61
2 Pm 0.0000 0.0000 0.5000  4 Tb 3.61, 6 Pm 3.61-3.63, 2 Dy 3.62
3 Pm 0.0009 0.7491 0.5000  1 Dy 3.60, 4 Tb 3.61-3.63, 7 Pm 3.61-3.63
4 Pm 0.2488 0.3757 0.0000  4 Tb 3.60-3.64, 2 Dy 3.60, 6 Pm 3.61-3.63
5 Dy 0.0000 0.5000 0.5000  8 Pm 3.60-3.62, 4 Tb 3.61

Summary:
For the polymorph energy (0 for the lowest one), the calculation gives 0 meV/atom.

(5)
Material: Tb2Pm5Dy12
Method: DFT, PBE
State: optimized geometry

a b c (Å): 15.6296 9.2782 8.6519
angles (deg): 90.00 92.35 90.00
With the nearest neighbours (Å) after each atom.
Space group C2/m (No. 12)
Asymmetric unit:
1 Tb 0.0000 0.1727 0.0000  1 Tb 3.20, 8 Dy 3.34-3.57
2 Pm 0.0000 0.5000 0.5000  10 Dy 3.40-3.77, 2 Pm 3.64
3 Pm 0.2075 0.0000 0.0220  8 Dy 3.51-3.69, 1 Pm 3.61, 2 Tb 3.62
4 Pm 0.2310 0.5000 0.5711  8 Dy 3.38-3.68, 2 Pm 3.61-3.64
5 Dy 0.0566 0.0000 0.3372  2 Pm 3.38-3.68, 7 Dy 3.39-3.54, 2 Tb 3.41
6 Dy 0.0729 0.5000 0.8752  3 Dy 3.20-3.50, 2 Pm 3.40-3.51, 2 Tb 3.43
7 Dy 0.1299 0.1913 0.6702  4 Pm 3.40-3.77, 5 Dy 3.41-3.55, 1 Tb 3.57
8 Dy 0.1478 0.3208 0.2397  4 Dy 3.33-3.71, 1 Tb 3.34, 4 Pm 3.52-3.69

Summary:
For the polymorph energy (0 for the lowest one), the calculation gives 104 meV/atom.

(6)
Material: Tb5Pm4Dy
Method: DFT, PBE
State: optimized geometry

a b c (Å): 10.6462 10.6462 5.9987
angles (deg): 90.00 90.00 90.00
With the nearest neighbours (Å) after each atom.
Space group I4mm (No. 107)
Asymmetric unit:
1 Tb 0.0000 0.0000 0.0000  2 Dy 2.84-3.16
2 Tb 0.1888 0.1888 0.7359  1 Dy 3.25, 3 Tb 3.25-3.52, 2 Pm 3.32
3 Pm 0.0000 0.3238 0.2379  2 Tb 3.32
4 Dy 0.0000 0.0000 0.4727  2 Tb 2.84-3.16

Summary:
For the polymorph energy (0 for the lowest one), the calculation gives 59 meV/atom.

Number 1: formation energy from the elements 0.28 eV/atom, mass density 8.0 Mg/m³, electronic total energy -4.340 eV/atom. Number 2: formation energy from the elements 0.02 eV/atom, mass density 7.3 Mg/m³, electronic total energy -4.701 eV/atom. Number 3: formation energy from the elements 0.04 eV/atom, mass density 8.2 Mg/m³, electronic total energy -4.595 eV/atom. Number 4: formation energy from the elements 0.02 eV/atom, mass density 7.5 Mg/m³, electronic total energy -4.687 eV/atom. Number 5: formation energy from the elements 0.12 eV/atom, mass density 7.9 Mg/m³, electronic total energy -4.523 eV/atom. Number 6: formation energy from the elements 0.24 eV/atom, mass density 7.5 Mg/m³, electronic total energy -4.434 eV/atom.